Entry 1:
The following is a PBE calculation of an optimized crystal structure of Na2Ag5SnAu2, from Alexandria via LeMat-Bulk.

```
Na2Ag5SnAu2
1.0
9.766 0.000 0.000
0.000 9.766 0.000
0.000 0.000 4.388
Na Ag Sn Au
4 10 2 4
Cartesian
1.689 3.194 0.000 Na
3.194 8.076 0.000 Na
6.572 1.689 0.000 Na
8.076 6.572 0.000 Na
0.000 4.883 2.194 Ag
0.702 7.805 2.194 Ag
1.961 0.702 2.194 Ag
2.922 5.585 2.194 Ag
4.181 2.922 2.194 Ag
4.883 0.000 2.194 Ag
5.585 6.843 2.194 Ag
6.843 4.181 2.194 Ag
7.805 9.063 2.194 Ag
9.063 1.961 2.194 Ag
0.000 0.000 0.000 Sn
4.883 4.883 0.000 Sn
1.197 6.079 0.000 Au
3.686 1.197 0.000 Au
6.079 8.569 0.000 Au
8.569 3.686 0.000 Au
```

Values from the calculation:
Space group: P4/mbm (127)
Energy relative to the elements in kJ/mol of formula units: -97
Density in g/cm3: 8.713

=====

Entry 2:
The following is a PBE calculation of an optimized crystal structure of CdPb2Br, from Alexandria via LeMat-Bulk.

```
CdPb2Br
1.0
3.555 -5.350 0.000
3.555 5.350 0.000
-1.561 0.000 3.162
Cd Pb Br
1 2 1
Cartesian
0.000 0.000 0.000 Cd
0.997 2.675 1.581 Pb
0.997 -2.675 1.581 Pb
3.555 0.000 0.000 Br
```

Values from the calculation:
Space group: C2/m (12)
Density in g/cm3: 8.377
E_form (uncorrected) in eV/atom: -0.119

=====

Entry 3:
The following is a PBE calculation of an optimized crystal structure of Tl4CoW, from Alexandria via LeMat-Bulk.

```
Tl4CoW
1.0
0.000 4.274 4.274
4.274 0.000 4.274
4.274 4.274 0.000
Tl Co W
4 1 1
Cartesian
1.070 1.070 1.070 Tl
3.205 3.205 1.070 Tl
3.205 1.070 3.205 Tl
1.070 3.205 3.205 Tl
4.274 4.274 4.274 Co
6.411 6.411 6.411 W
```

Values from the calculation:
Space group: F-43m (216)
Energy relative to the elements in kJ/mol of formula units: 883
Density in g/cm3: 11.274

=====

Entry 4:
The following is a PBE calculation of an optimized crystal structure of TbGdMgCo, from Alexandria via LeMat-Bulk.

```
TbGdMgCo
1.0
0.000 3.577 3.577
3.577 0.000 3.577
3.577 3.577 0.000
Tb Gd Mg Co
1 1 1 1
Cartesian
0.000 0.000 0.000 Tb
3.577 3.577 3.577 Gd
1.789 1.789 1.789 Mg
5.366 5.366 5.366 Co
```

Values from the calculation:
Space group: F-43m (216)
Energy relative to the elements in kJ/mol of formula units: 1
Density in g/cm3: 7.245

=====

Entry 5:
The following is a PBE calculation of an optimized crystal structure of Nd2ScPd9, from Alexandria via LeMat-Bulk.

```
Nd2ScPd9
1.0
4.165 0.000 0.000
0.000 4.165 0.000
0.000 0.000 12.277
Nd Sc Pd
2 1 9
Cartesian
0.000 0.000 2.128 Nd
0.000 0.000 10.149 Nd
0.000 0.000 6.139 Sc
0.000 2.082 0.000 Pd
0.000 2.082 4.251 Pd
0.000 2.082 8.026 Pd
2.082 0.000 0.000 Pd
2.082 0.000 4.251 Pd
2.082 0.000 8.026 Pd
2.082 2.082 2.111 Pd
2.082 2.082 6.139 Pd
2.082 2.082 10.166 Pd
```

Values from the calculation:
Space group: P4/mmm (123)
Energy relative to the elements in kJ/mol of formula units: -905
Density in g/cm3: 10.068

=====

Entry 6:
The following is a PBE calculation of an optimized crystal structure of Ba2ZrSe, from Alexandria via LeMat-Bulk.

```
Ba2ZrSe
1.0
6.465 -1.890 0.000
6.465 1.890 0.000
-2.113 0.000 5.607
Ba Zr Se
2 1 1
Cartesian
0.000 0.000 0.000 Ba
1.112 0.000 3.584 Ba
9.724 0.000 1.328 Zr
4.640 0.000 2.748 Se
```

Values from the calculation:
Space group: Cm (8)
Density in g/cm3: 5.391
E_form (uncorrected) in eV/atom: -0.410